This record from Alexandria describes a relaxed structure of CsNa2PbAu. The functional is PBE.

Calculated values
**Distance to the lowest polymorph of the same formula**: 0.000 eV/atom
**Total magnetization**: 0.000 μB/cell
**E_form**: -0.143 eV per atom
**D(E_F)**: 2.030 states/eV/f.u.

abc: 5.8809 5.8809 5.5660
angles: 90.00 90.00 90.00
Closest atoms and distances in Å follow each position.
Element x y z (fractional)
Na (0.0000, 0.5000, 0.0000)  2 Au 2.94
Cs (0.5000, 0.5000, 0.5000)  8 Na 4.05, 4 Pb 4.16
Na (0.5000, 0.0000, 0.0000)  2 Au 2.94
Pb (0.0000, 0.0000, 0.5000)  2 Au 2.78
Au (0.0000, 0.0000, 0.0000)  2 Pb 2.78, 4 Na 2.94


This record from Alexandria describes a relaxed structure of CsNa2PdAu. The functional is PBE.

Calculated values
**Distance to the lowest polymorph of the same formula**: 0.000 eV/atom
**Total magnetization**: 0.000 μB/cell
**E_form**: -0.083 eV per atom
**D(E_F)**: 1.420 states/eV/f.u.

abc: 5.5076 5.5076 5.3787
angles: 90.00 90.00 90.00
Closest atoms and distances in Å follow each position.
Element x y z (fractional)
Na (0.5000, 0.0000, 0.0000)  2 Pd 2.75
Na (0.0000, 0.5000, 0.0000)  2 Pd 2.75
Au (0.0000, 0.0000, 0.5000)  2 Pd 2.69
Pd (0.0000, 0.0000, 0.0000)  2 Au 2.69, 4 Na 2.75
Cs (0.5000, 0.5000, 0.5000)  8 Na 3.85, 4 Au 3.89


This record from Alexandria describes a relaxed structure of CsNa2PdAu. The functional is PBE.

Calculated values
**Distance to the lowest polymorph of the same formula**: 0.069 eV/atom
**Total magnetization**: 0.000 μB/cell
**E_form**: -0.014 eV per atom
**D(E_F)**: 1.210 states/eV/f.u.

abc: 5.5749 5.5749 5.3443
angles: 90.00 90.00 90.00
Closest atoms and distances in Å follow each position.
Element x y z (fractional)
Cs (0.5000, 0.5000, 0.5000)  8 Na 3.86, 4 Pd 3.94
Na (0.0000, 0.5000, 0.0000)  2 Au 2.79
Pd (0.0000, 0.0000, 0.5000)  2 Au 2.67
Na (0.5000, 0.0000, 0.0000)  2 Au 2.79
Au (0.0000, 0.0000, 0.0000)  2 Pd 2.67, 4 Na 2.79


This record from Alexandria describes a relaxed structure of CsNa2PtAu. The functional is PBE.

Calculated values
**Total magnetization**: 0.000 μB/cell
**E_form**: -0.104 eV per atom
**D(E_F)**: 1.337 states/eV/f.u.

abc: 5.5271 5.5271 5.3112
angles: 90.00 90.00 90.00
Closest atoms and distances in Å follow each position.
Element x y z (fractional)
Na (0.0000, 0.5000, 0.0000)  2 Pt 2.76
Pt (0.0000, 0.0000, 0.0000)  2 Au 2.66, 4 Na 2.76
Cs (0.5000, 0.5000, 0.5000)  8 Na 3.83, 4 Au 3.91
Au (0.0000, 0.0000, 0.5000)  2 Pt 2.66
Na (0.5000, 0.0000, 0.0000)  2 Pt 2.76